Record 1
First-principles (PBE-GGA) data for a relaxed RbBa2Mn crystal, as listed in Alexandria.

Computed properties:
calculated formation energy	1.123	eV per atom
total magnetization	0.02	μB/cell

Unit cell a=6.198 b=6.198 c=6.198 alpha=60.00 beta=60.00 gamma=60.00
Atoms (fractional coordinates):
Rb  0.000  0.000  0.000
Ba  0.250  0.250  0.250
Ba  0.750  0.750  0.750
Mn  0.500  0.500  0.500

Record 2
First-principles (PBE-GGA) data for a relaxed MgBeHg2 crystal, as listed in Alexandria.

Computed properties:
calculated formation energy	0.203	eV per atom
total magnetization	0.00	μB/cell

Unit cell a=3.233 b=3.233 c=7.039 alpha=90.00 beta=90.00 gamma=91.89
Atoms (fractional coordinates):
Mg  0.000  0.000  0.000
Be  0.000  0.000  0.500
Hg  0.500  0.500  0.279
Hg  0.500  0.500  0.721

Record 3
First-principles (PBE-GGA) data for a relaxed HoTmCd14 crystal, as listed in Alexandria.

Computed properties:
calculated formation energy	-0.126	eV per atom
total magnetization	0.00	μB/cell

Unit cell a=6.565 b=6.565 c=8.511 alpha=90.00 beta=90.00 gamma=90.00
Atoms (fractional coordinates):
Ho  0.000  0.000  0.000
Tm  0.500  0.500  0.000
Cd  0.000  0.000  0.500
Cd  0.000  0.500  0.000
Cd  0.000  0.500  0.500
Cd  0.251  0.251  0.257
Cd  0.251  0.251  0.743
Cd  0.251  0.749  0.257
Cd  0.251  0.749  0.743
Cd  0.500  0.000  0.000
Cd  0.500  0.000  0.500
Cd  0.500  0.500  0.500
Cd  0.749  0.251  0.257
Cd  0.749  0.251  0.743
Cd  0.749  0.749  0.257
Cd  0.749  0.749  0.743

Record 4
First-principles (PBE-GGA) data for a relaxed Y6Tm3Sc2 crystal, as listed in Alexandria.

Computed properties:
calculated formation energy	0.048	eV per atom
total magnetization	0.00	μB/cell

Unit cell a=31.278 b=31.278 c=31.278 alpha=6.42 beta=6.42 gamma=6.42
Atoms (fractional coordinates):
Y  0.093  0.093  0.093
Y  0.183  0.183  0.183
Y  0.364  0.364  0.364
Y  0.636  0.636  0.636
Y  0.817  0.817  0.817
Y  0.907  0.907  0.907
Tm  0.000  0.000  0.000
Tm  0.272  0.272  0.272
Tm  0.728  0.728  0.728
Sc  0.455  0.455  0.455
Sc  0.545  0.545  0.545

Record 5
First-principles (PBE-GGA) data for a relaxed LaMnGa11 crystal, as listed in Alexandria.

Computed properties:
calculated formation energy	-0.158	eV per atom
total magnetization	2.38	μB/cell

Unit cell a=6.715 b=6.715 c=7.905 alpha=97.45 beta=97.45 gamma=133.94
Atoms (fractional coordinates):
La  0.000  0.000  0.000
Mn  0.000  0.000  0.500
Ga  0.000  0.500  0.000
Ga  0.015  0.667  0.634
Ga  0.270  0.491  0.764
Ga  0.333  0.985  0.366
Ga  0.491  0.270  0.764
Ga  0.500  0.000  0.000
Ga  0.500  0.500  0.500
Ga  0.509  0.730  0.236
Ga  0.667  0.015  0.634
Ga  0.730  0.509  0.236
Ga  0.985  0.333  0.366

Record 6
First-principles (PBE-GGA) data for a relaxed Pm6Si2F crystal, as listed in Alexandria.

Computed properties:
total magnetization	1.62	μB/cell
uncorrected formation energy	-0.88	eV per atom

Unit cell a=6.547 b=7.770 c=11.453 alpha=90.00 beta=124.78 gamma=90.00
Atoms (fractional coordinates):
Pm  0.082  0.179  0.442
Pm  0.082  0.321  0.942
Pm  0.301  0.691  0.440
Pm  0.301  0.809  0.940
Pm  0.383  0.032  0.242
Pm  0.383  0.468  0.742
Pm  0.617  0.532  0.258
Pm  0.617  0.968  0.758
Pm  0.699  0.191  0.060
Pm  0.699  0.309  0.560
Pm  0.918  0.679  0.058
Pm  0.918  0.821  0.558
Si  0.190  0.122  0.752
Si  0.190  0.378  0.252
Si  0.810  0.622  0.748
Si  0.810  0.878  0.248
F  0.500  0.000  0.500
F  0.500  0.500  0.000

Record 7
First-principles (PBE-GGA) data for a relaxed KSr2Tl crystal, as listed in Alexandria.

Computed properties:
calculated formation energy	-0.100	eV per atom
total magnetization	0.00	μB/cell

Unit cell a=12.730 b=12.730 c=12.730 alpha=19.41 beta=19.41 gamma=19.41
Atoms (fractional coordinates):
K  0.000  0.000  0.000
Sr  0.231  0.231  0.231
Sr  0.769  0.769  0.769
Tl  0.500  0.500  0.500

Record 8
First-principles (PBE-GGA) data for a relaxed Mg2AlBiC crystal, as listed in Alexandria.

Computed properties:
calculated formation energy	0.081	eV per atom
total magnetization	0.00	μB/cell

Unit cell a=4.680 b=4.680 c=4.029 alpha=90.00 beta=90.00 gamma=90.00
Atoms (fractional coordinates):
Mg  0.000  0.500  0.000
Mg  0.500  0.000  0.000
Al  0.000  0.000  0.500
Bi  0.500  0.500  0.500
C  0.000  0.000  0.000

Record 9
First-principles (PBE-GGA) data for a relaxed Mg2InAg7Sn2 crystal, as listed in Alexandria.

Computed properties:
calculated formation energy	-0.042	eV per atom
total magnetization	0.00	μB/cell

Unit cell a=4.337 b=4.337 c=13.040 alpha=90.24 beta=90.24 gamma=92.02
Atoms (fractional coordinates):
Mg  0.000  0.000  0.189
Mg  0.000  0.000  0.811
In  0.500  0.500  0.500
Ag  0.000  0.000  0.500
Ag  0.000  0.499  0.342
Ag  0.000  0.501  0.658
Ag  0.242  0.242  0.000
Ag  0.499  0.000  0.342
Ag  0.501  0.000  0.658
Ag  0.758  0.758  0.000
Sn  0.500  0.500  0.186
Sn  0.500  0.500  0.814

Record 10
First-principles (PBE-GGA) data for a relaxed LiTm2Zn12Cu3 crystal, as listed in Alexandria.

Computed properties:
calculated formation energy	-0.034	eV per atom
total magnetization	0.00	μB/cell

Unit cell a=6.671 b=6.671 c=6.671 alpha=85.57 beta=85.57 gamma=85.57
Atoms (fractional coordinates):
Li  0.000  0.000  0.000
Tm  0.252  0.252  0.252
Tm  0.748  0.748  0.748
Zn  0.157  0.568  0.568
Zn  0.196  0.196  0.724
Zn  0.196  0.724  0.196
Zn  0.276  0.804  0.804
Zn  0.432  0.432  0.843
Zn  0.432  0.843  0.432
Zn  0.568  0.157  0.568
Zn  0.568  0.568  0.157
Zn  0.724  0.196  0.196
Zn  0.804  0.276  0.804
Zn  0.804  0.804  0.276
Zn  0.843  0.432  0.432
Cu  0.000  0.000  0.500
Cu  0.000  0.500  0.000
Cu  0.500  0.000  0.000